GGA-PBE AlRu3, optimized geometry; total DFT energy (no corrections) = -8.028 eV per atom; Fermi-level density of states = 3.99 states/eV/f.u.; energy of formation = -0.135 eV/atom
1.0
2.768 0.000 0.000
0.000 3.785 0.000
0.000 0.000 5.341
Ru Al
3 1
Direct
0.500 0.500 0.751
0.000 0.000 0.500
0.500 0.500 0.249
0.000 0.000 0.000